4
Lattice="3.5024 0.0000 0.0000 0.0000 3.4301 0.0000 -1.7012 0.0000 6.6556" Properties=species:S:1:pos:R:3 comment="Li2AgBr, optimized geometry, DFT PBE-GGA" relative_energy_ev_per_atom=0.014 raw_formation_energy_kcal_per_mol_atoms=-14.77 dos_ef_per_ev_fu=0.28 rho_g_cm3=4.2 space_group="No. 10" pbc="T T T"
Li 0.0031 0.0000 1.6120
Li 1.7981 0.0000 5.0436
Ag 1.7512 1.7151 0.0000
Br 0.9006 1.7151 3.3278